# LiCeSm2

An optimized crystal structure of LiCeSm2 (PBE, the Alexandria database).

Calculated values
Fermi-level density of states ... 1.6917 states/eV/atom
Calculated volume ... 29.94 Å³/atom
Energy above the most stable polymorph in this dataset ... 38 meV/atom
Crystal system ... trigonal

Unit cell a=3.4759 b=3.4759 c=11.6192 alpha=81.40 beta=81.40 gamma=60.00
Site moments in Bohr magnetons follow the coordinates.
Element x y z (fractional)
Sm  0.2518  0.2518  0.2445  0.01
Sm  0.0816  0.0816  0.7552  0.01
Ce  0.5000  0.5000  0.5000  0.51
Li  0.6666  0.6666  0.0003  0.00